Pr12Zn6Si | PBE | relaxed

Calculated values
formation energy from raw total energies = -0.128 eV/atom

Cell lengths 8.280, 8.280, 8.280 Å; angles 93.32, 93.32, 93.32 degrees
Sites, in units of the cell vectors:
Pr1 0.044 0.941 0.693
Pr2 0.059 0.307 0.956
Pr3 0.167 0.404 0.528
Pr4 0.307 0.956 0.059
Pr5 0.404 0.528 0.167
Pr6 0.472 0.833 0.596
Pr7 0.528 0.167 0.404
Pr8 0.596 0.472 0.833
Pr9 0.693 0.044 0.941
Pr10 0.833 0.596 0.472
Pr11 0.941 0.693 0.044
Pr12 0.956 0.059 0.307
Zn1 0.171 0.756 0.354
Zn2 0.244 0.646 0.829
Zn3 0.354 0.171 0.756
Zn4 0.646 0.829 0.244
Zn5 0.756 0.354 0.171
Zn6 0.829 0.244 0.646
Si1 0.500 0.500 0.500

---

KTlRh2S | PBE | relaxed

Calculated values
formation energy from raw total energies = 0.131 eV/atom

Cell lengths 4.494, 4.494, 5.831 Å; angles 90.00, 90.00, 90.00 degrees
Sites, in units of the cell vectors:
K1 0.000 0.000 0.000
Tl1 0.500 0.500 0.000
Rh1 0.000 0.500 0.500
Rh2 0.500 0.000 0.500
S1 0.500 0.500 0.500

---

Ba12In6N | PBE | relaxed

Calculated values
formation energy from raw total energies = -0.259 eV/atom

Cell lengths 9.526, 9.526, 9.526 Å; angles 93.97, 93.97, 93.97 degrees
Sites, in units of the cell vectors:
Ba1 0.038 0.716 0.930
Ba2 0.070 0.962 0.284
Ba3 0.184 0.541 0.411
Ba4 0.284 0.070 0.962
Ba5 0.411 0.184 0.541
Ba6 0.459 0.589 0.816
Ba7 0.541 0.411 0.184
Ba8 0.589 0.816 0.459
Ba9 0.716 0.930 0.038
Ba10 0.816 0.459 0.589
Ba11 0.930 0.038 0.716
Ba12 0.962 0.284 0.070
In1 0.156 0.358 0.746
In2 0.254 0.844 0.642
In3 0.358 0.746 0.156
In4 0.642 0.254 0.844
In5 0.746 0.156 0.358
In6 0.844 0.642 0.254
N1 0.000 0.000 0.000

---

TbSmSb | PBE | relaxed

Calculated values
excess energy over the best structure of this formula in the dataset = 0.000 eV per atom
formation energy from raw total energies = -0.829 eV/atom

Cell lengths 9.199, 9.199, 9.199 Å; angles 151.68, 151.68, 40.48 degrees
Sites, in units of the cell vectors:
Tb1 0.000 0.500 0.500
Tb2 0.500 0.000 0.500
Sm1 0.178 0.178 0.000
Sm2 0.822 0.822 0.000
Sb1 0.363 0.363 0.000
Sb2 0.637 0.637 0.000

---

Ta2CrPb | PBE | relaxed

Calculated values
VASP energy = -8.68 eV/atom

Cell lengths 4.699, 4.699, 4.699 Å; angles 60.00, 60.00, 60.00 degrees
Sites, in units of the cell vectors:
Ta1 0.000 0.000 0.000
Ta2 0.250 0.250 0.250
Cr1 0.750 0.750 0.750
Pb1 0.500 0.500 0.500

---

RbLi2Co | PBE | relaxed

Calculated values
excess energy over the best structure of this formula in the dataset = 0.021 eV per atom

Cell lengths 5.232, 5.232, 5.232 Å; angles 60.00, 60.00, 60.00 degrees
Sites, in units of the cell vectors:
Rb1 0.000 0.000 0.000
Li1 0.250 0.250 0.250
Li2 0.750 0.750 0.750
Co1 0.500 0.500 0.500

---

Cr4CdFe | PBE | relaxed

Calculated values
VASP energy = -7.58 eV/atom

Cell lengths 4.804, 4.804, 4.804 Å; angles 60.00, 60.00, 60.00 degrees
Sites, in units of the cell vectors:
Cr1 0.125 0.125 0.125
Cr2 0.125 0.125 0.625
Cr3 0.125 0.625 0.125
Cr4 0.625 0.125 0.125
Cd1 0.500 0.500 0.500
Fe1 0.750 0.750 0.750

---

MgOs2Se | PBE | relaxed

Calculated values
excess energy over the best structure of this formula in the dataset = 0.500 eV per atom
formation energy from raw total energies = 0.643 eV/atom

Cell lengths 3.794, 3.794, 4.442 Å; angles 90.00, 90.00, 90.00 degrees
Sites, in units of the cell vectors:
Mg1 0.000 0.000 0.000
Os1 0.000 0.500 0.500
Os2 0.500 0.000 0.500
Se1 0.500 0.500 0.000

---

MgIn2Ni | PBE | relaxed

Calculated values
VASP energy = -3.26 eV/atom

Cell lengths 3.137, 3.137, 7.908 Å; angles 90.00, 90.00, 90.00 degrees
Sites, in units of the cell vectors:
Mg1 0.000 0.000 0.000
In1 0.500 0.500 0.292
In2 0.500 0.500 0.708
Ni1 0.000 0.000 0.500

---

LiCd2Ag2Au4 | PBE | relaxed

Calculated values
VASP energy = -2.65 eV/atom

Cell lengths 5.002, 5.106, 7.391 Å; angles 76.32, 77.69, 71.73 degrees
Sites, in units of the cell vectors:
Li1 0.000 0.000 0.000
Cd1 0.249 0.239 0.498
Cd2 0.751 0.761 0.502
Ag1 0.194 0.674 0.727
Ag2 0.806 0.326 0.273
Au1 0.295 0.784 0.296
Au2 0.371 0.285 0.071
Au3 0.629 0.715 0.929
Au4 0.705 0.216 0.704

---

CeAgSn2 | PBE | relaxed

Calculated values
VASP energy = -4.51 eV/atom

Cell lengths 6.040, 6.040, 6.040 Å; angles 45.81, 45.81, 45.81 degrees
Sites, in units of the cell vectors:
Ce1 0.000 0.000 0.000
Ag1 0.500 0.500 0.500
Sn1 0.230 0.230 0.230
Sn2 0.770 0.770 0.770

---

TbHo6Th4 | PBE | relaxed

Calculated values
excess energy over the best structure of this formula in the dataset = 0.000 eV per atom

Cell lengths 18.144, 18.144, 18.144 Å; angles 169.18, 161.50, 21.48 degrees
Sites, in units of the cell vectors:
Tb1 0.000 0.000 0.000
Ho1 0.096 0.596 0.500
Ho2 0.267 0.767 0.500
Ho3 0.369 0.869 0.500
Ho4 0.631 0.131 0.500
Ho5 0.733 0.233 0.500
Ho6 0.904 0.404 0.500
Th1 0.182 0.182 0.000
Th2 0.456 0.456 0.000
Th3 0.544 0.544 0.000
Th4 0.818 0.818 0.000

---

MnReAg2 | PBE | relaxed

Calculated values
excess energy over the best structure of this formula in the dataset = 0.285 eV per atom

Cell lengths 5.476, 5.476, 5.476 Å; angles 149.90, 127.62, 61.60 degrees
Sites, in units of the cell vectors:
Mn1 0.000 0.000 0.000
Re1 0.208 0.708 0.500
Ag1 0.479 0.479 0.000
Ag2 0.748 0.248 0.500

---

Ta2Fe3Pt4 | PBE | relaxed

Calculated values
VASP energy = -8.58 eV/atom

Cell lengths 4.820, 4.820, 8.242 Å; angles 107.58, 107.58, 47.52 degrees
Sites, in units of the cell vectors:
Ta1 0.169 0.169 0.225
Ta2 0.831 0.831 0.775
Fe1 0.163 0.163 0.551
Fe2 0.500 0.500 0.000
Fe3 0.837 0.837 0.449
Pt1 0.166 0.166 0.888
Pt2 0.492 0.492 0.664
Pt3 0.508 0.508 0.336
Pt4 0.834 0.834 0.112

---

TlBi4Au4 | PBE | relaxed

Calculated values
excess energy over the best structure of this formula in the dataset = 0.000 eV per atom

Cell lengths 7.255, 7.255, 9.887 Å; angles 90.00, 90.00, 90.00 degrees
Sites, in units of the cell vectors:
Tl1 0.250 0.750 0.250
Tl2 0.750 0.250 0.750
Bi1 0.005 0.250 0.109
Bi2 0.250 0.005 0.609
Bi3 0.250 0.495 0.609
Bi4 0.495 0.250 0.109
Bi5 0.505 0.750 0.891
Bi6 0.750 0.505 0.391
Bi7 0.750 0.995 0.391
Bi8 0.995 0.750 0.891
Au1 0.058 0.250 0.403
Au2 0.250 0.058 0.903
Au3 0.250 0.442 0.903
Au4 0.442 0.250 0.403
Au5 0.558 0.750 0.597
Au6 0.750 0.558 0.097
Au7 0.750 0.942 0.097
Au8 0.942 0.750 0.597

---

Nd8Ge5S | PBE | relaxed

Calculated values
formation energy from raw total energies = -0.940 eV/atom

Cell lengths 7.879, 7.879, 7.879 Å; angles 109.64, 109.64, 109.13 degrees
Sites, in units of the cell vectors:
Nd1 0.010 0.633 0.756
Nd2 0.244 0.496 0.116
Nd3 0.367 0.124 0.378
Nd4 0.380 0.127 0.884
Nd5 0.504 0.620 0.747
Nd6 0.746 0.990 0.622
Nd7 0.873 0.756 0.253
Nd8 0.876 0.254 0.244
Ge1 0.122 0.249 0.624
Ge2 0.250 0.750 0.500
Ge3 0.502 0.878 0.127
Ge4 0.625 0.498 0.376
Ge5 0.751 0.375 0.873
S1 0.000 0.000 0.000

---

BaNaSr3 | PBE | relaxed

Calculated values
excess energy over the best structure of this formula in the dataset = 0.032 eV per atom

Cell lengths 7.001, 8.406, 10.040 Å; angles 90.00, 110.33, 90.00 degrees
Sites, in units of the cell vectors:
Ba1 0.107 0.250 0.212
Ba2 0.893 0.750 0.788
Na1 0.498 0.250 0.992
Na2 0.502 0.750 0.008
Sr1 0.120 0.750 0.240
Sr2 0.312 0.001 0.624
Sr3 0.312 0.499 0.624
Sr4 0.688 0.501 0.376
Sr5 0.688 0.999 0.376
Sr6 0.880 0.250 0.760

---

MnSiAs2Br | PBE | relaxed

Calculated values
excess energy over the best structure of this formula in the dataset = 0.000 eV per atom
formation energy from raw total energies = 0.616 eV/atom

Cell lengths 4.651, 4.651, 5.206 Å; angles 90.00, 90.00, 90.00 degrees
Sites, in units of the cell vectors:
Mn1 0.000 0.000 0.000
Si1 0.500 0.500 0.500
As1 0.000 0.500 0.000
As2 0.500 0.000 0.000
Br1 0.000 0.000 0.500

---

Ho3ErTl4 | PBE | relaxed

Calculated values
excess energy over the best structure of this formula in the dataset = 0.000 eV per atom

Cell lengths 3.775, 3.775, 15.072 Å; angles 90.00, 90.00, 90.00 degrees
Sites, in units of the cell vectors:
Ho1 0.000 0.000 0.000
Ho2 0.000 0.000 0.251
Ho3 0.000 0.000 0.749
Er1 0.000 0.000 0.500
Tl1 0.500 0.500 0.125
Tl2 0.500 0.500 0.376
Tl3 0.500 0.500 0.624
Tl4 0.500 0.500 0.875

---

HfTcRu | PBE | relaxed

Calculated values
excess energy over the best structure of this formula in the dataset = 0.143 eV per atom

Cell lengths 5.272, 5.272, 6.514 Å; angles 126.03, 126.03, 48.64 degrees
Sites, in units of the cell vectors:
Hf1 0.061 0.061 0.314
Hf2 0.939 0.939 0.686
Tc1 0.346 0.346 0.924
Tc2 0.654 0.654 0.076
Ru1 0.331 0.331 0.290
Ru2 0.669 0.669 0.710